No. 1
Material: LuTaAl
Method: DFT, PBE
State: optimized geometry

The structure in extended XYZ format:
```
12
Lattice="6.5070 0.0000 0.0000 0.0000 6.5070 0.0000 0.0000 0.0000 6.5070" Properties=species:S:1:pos:R:3 pbc="T T T"
Lu 0.0000 0.0000 0.0000
Lu 0.0000 3.2535 3.2535
Lu 3.2535 0.0000 3.2535
Lu 3.2535 3.2535 0.0000
Ta 0.0000 0.0000 3.2535
Ta 0.0000 3.2535 0.0000
Ta 3.2535 0.0000 0.0000
Ta 3.2535 3.2535 3.2535
Al 1.6267 1.6267 1.6267
Al 1.6267 4.8802 4.8802
Al 4.8802 1.6267 4.8802
Al 4.8802 4.8802 1.6267
```

Properties
Space group = F-43m, No. 216
Excess energy over the best structure of this formula in the dataset = 0 meV per atom

No. 2
Material: SmTlSb
Method: DFT, PBE
State: optimized geometry

The structure in extended XYZ format:
```
12
Lattice="7.3230 0.0000 0.0000 0.0000 7.3230 0.0000 0.0000 0.0000 7.3230" Properties=species:S:1:pos:R:3 pbc="T T T"
Sm 0.0000 0.0000 0.0000
Sm 0.0000 3.6615 3.6615
Sm 3.6615 0.0000 3.6615
Sm 3.6615 3.6615 0.0000
Tl 1.8308 1.8308 5.4923
Tl 1.8308 5.4923 1.8308
Tl 5.4923 1.8308 1.8308
Tl 5.4923 5.4923 5.4923
Sb 0.0000 0.0000 3.6615
Sb 0.0000 3.6615 0.0000
Sb 3.6615 0.0000 0.0000
Sb 3.6615 3.6615 3.6615
```

Properties
Space group = F-43m, No. 216
Excess energy over the best structure of this formula in the dataset = 170 meV per atom

No. 3
Material: ZnSb
Method: DFT, PBE
State: optimized geometry

The structure in extended XYZ format:
```
12
Lattice="6.1892 0.0000 0.0000 0.0000 5.2212 0.0000 -1.2891 0.0000 8.3926" Properties=species:S:1:pos:R:3 pbc="T T T"
Zn -0.3977 1.3053 3.4396
Zn 1.0664 1.3053 5.7447
Zn 2.2120 1.3053 3.4596
Zn 2.6881 3.9159 4.9329
Zn 3.8336 3.9159 2.6479
Zn 5.2978 3.9159 4.9530
Sb -0.2142 1.3053 8.3424
Sb 0.7217 3.9159 2.6258
Sb 0.9824 3.9159 7.0394
Sb 3.9177 1.3053 1.3532
Sb 4.1783 1.3053 5.7667
Sb 5.1143 3.9159 0.0501
```

Properties
Space group = P2_1/m, No. 11

No. 4
Material: HfTlNiPt
Method: DFT, PBE
State: optimized geometry

The structure in extended XYZ format:
```
16
Lattice="6.5254 0.0000 0.0000 0.0000 6.5254 0.0000 0.0000 0.0000 6.5254" Properties=species:S:1:pos:R:3 pbc="T T T"
Hf 0.0000 0.0000 0.0000
Hf 0.0000 3.2627 3.2627
Hf 3.2627 0.0000 3.2627
Hf 3.2627 3.2627 0.0000
Tl 0.0000 0.0000 3.2627
Tl 0.0000 3.2627 0.0000
Tl 3.2627 0.0000 0.0000
Tl 3.2627 3.2627 3.2627
Ni 1.6314 1.6314 4.8941
Ni 1.6314 4.8941 1.6314
Ni 4.8941 1.6314 1.6314
Ni 4.8941 4.8941 4.8941
Pt 1.6314 1.6314 1.6314
Pt 1.6314 4.8941 4.8941
Pt 4.8941 1.6314 4.8941
Pt 4.8941 4.8941 1.6314
```

Properties
Space group = F-43m, No. 216
Excess energy over the best structure of this formula in the dataset = 0 meV per atom

No. 5
Material: BaHf2Cu
Method: DFT, PBE
State: optimized geometry

The structure in extended XYZ format:
```
16
Lattice="7.3176 0.0000 0.0000 0.0000 7.3176 0.0000 0.0000 0.0000 7.3176" Properties=species:S:1:pos:R:3 pbc="T T T"
Ba 0.0000 0.0000 0.0000
Ba 0.0000 3.6588 3.6588
Ba 3.6588 0.0000 3.6588
Ba 3.6588 3.6588 0.0000
Hf 0.0000 0.0000 3.6588
Hf 0.0000 3.6588 0.0000
Hf 1.8294 1.8294 1.8294
Hf 1.8294 5.4882 5.4882
Hf 3.6588 0.0000 0.0000
Hf 3.6588 3.6588 3.6588
Hf 5.4882 1.8294 5.4882
Hf 5.4882 5.4882 1.8294
Cu 1.8294 1.8294 5.4882
Cu 1.8294 5.4882 1.8294
Cu 5.4882 1.8294 1.8294
Cu 5.4882 5.4882 5.4882
```

Properties
Space group = F-43m, No. 216

No. 6
Material: GdEr2Al2Cd4
Method: DFT, PBE
State: optimized geometry

The structure in extended XYZ format:
```
9
Lattice="4.5418 0.0000 0.0000 0.0000 6.3463 3.6375 0.0000 -6.3463 3.6375" Properties=species:S:1:pos:R:3 pbc="T T T"
Gd 0.0000 0.0000 0.0000
Er 0.0000 -2.7356 2.5919
Er 0.0000 2.7356 2.5919
Al 2.2709 -4.2166 4.1564
Al 2.2709 4.2166 4.1564
Cd 0.0000 0.0000 4.1231
Cd 2.2709 0.0000 2.3162
Cd 2.2709 -1.5965 5.0670
Cd 2.2709 1.5965 5.0670
```

Properties
Space group = Amm2, No. 38

No. 7
Material: La2Cd4AgPd
Method: DFT, PBE
State: optimized geometry

The structure in extended XYZ format:
```
16
Lattice="8.3970 0.0000 0.0000 0.0000 4.4298 0.0000 0.0000 0.0000 10.2704" Properties=species:S:1:pos:R:3 pbc="T T T"
La 0.0000 0.0000 0.0000
La 0.0000 2.2149 5.1352
La 4.1985 0.0000 1.3487
La 4.1985 2.2149 6.4840
Cd 1.7104 0.0000 7.2744
Cd 1.7104 2.2149 2.1392
Cd 2.5576 0.0000 4.3583
Cd 2.5576 2.2149 9.4935
Cd 5.8393 0.0000 4.3583
Cd 5.8393 2.2149 9.4935
Cd 6.6866 0.0000 7.2744
Cd 6.6866 2.2149 2.1392
Ag 0.0000 0.0000 2.9883
Ag 0.0000 2.2149 8.1235
Pd 4.1985 0.0000 8.6867
Pd 4.1985 2.2149 3.5515
```

Properties
Space group = Amm2, No. 38
Calculated formation energy = -0.467 eV per atom

No. 8
Material: TbGd2In3Pt2Au
Method: DFT, PBE
State: optimized geometry

The structure in extended XYZ format:
```
9
Lattice="3.8481 0.0000 0.0000 0.0000 6.7516 3.9015 0.0000 -6.7516 3.9015" Properties=species:S:1:pos:R:3 pbc="T T T"
Tb 0.0000 0.0000 0.0000
Gd 0.0000 -2.7578 4.7812
Gd 0.0000 2.7578 4.7812
In 1.9240 -1.8065 2.1413
In 1.9240 1.8065 2.1413
In 1.9240 0.0000 5.2787
Pt 1.9240 -4.5083 3.1895
Pt 1.9240 4.5083 3.1895
Au 0.0000 0.0000 3.1851
```

Properties
Space group = Amm2, No. 38

No. 9
Material: LuTcNO
Method: DFT, PBE
State: optimized geometry

The structure in extended XYZ format:
```
8
Lattice="3.5089 0.0000 0.0000 0.0000 6.1544 0.0000 0.0000 0.0000 5.0933" Properties=species:S:1:pos:R:3 pbc="T T T"
Lu 0.0000 1.3442 0.0000
Lu 0.0000 4.8101 2.5466
Tc 1.7545 1.6129 2.6566
Tc 1.7545 4.5414 0.1099
N 0.0000 0.8880 2.4264
N 0.0000 5.2664 4.9730
O 1.7545 2.5283 4.5938
O 1.7545 3.6261 2.0472
```

Properties
Space group = Pmc2_1, No. 26
Excess energy over the best structure of this formula in the dataset = 328 meV per atom

No. 10
Material: Er2HgOs
Method: DFT, PBE
State: optimized geometry

The structure in extended XYZ format:
```
4
Lattice="3.4218 0.0000 0.0000 0.0000 3.4218 0.0000 0.0000 0.0000 7.5486" Properties=species:S:1:pos:R:3 pbc="T T T"
Er 0.0000 0.0000 1.6364
Er 0.0000 0.0000 5.9122
Hg 1.7109 1.7109 3.7743
Os 1.7109 1.7109 0.0000
```

Properties
Space group = P4/mmm, No. 123
Calculated formation energy = -0.421 eV per atom

No. 11
Material: NbGe2Au
Method: DFT, PBE
State: optimized geometry

The structure in extended XYZ format:
```
8
Lattice="3.8204 0.0000 0.0000 0.0000 3.8204 0.0000 0.0000 0.0000 9.5032" Properties=species:S:1:pos:R:3 pbc="T T T"
Nb 0.9551 0.9551 2.0279
Nb 2.8653 2.8653 7.4753
Ge 0.9551 0.9551 6.7909
Ge 0.9551 2.8653 0.0000
Ge 2.8653 0.9551 0.0000
Ge 2.8653 2.8653 2.7123
Au 0.9551 2.8653 4.7516
Au 2.8653 0.9551 4.7516
```

Properties
Space group = P4/nmm, No. 129
Excess energy over the best structure of this formula in the dataset = 0 meV per atom

No. 12
Material: Be2MoPb
Method: DFT, PBE
State: optimized geometry

The structure in extended XYZ format:
```
16
Lattice="6.2807 0.0000 0.0000 0.0000 6.2807 0.0000 0.0000 0.0000 6.2807" Properties=species:S:1:pos:R:3 pbc="T T T"
Be 0.0000 0.0000 0.0000
Be 0.0000 3.1404 3.1404
Be 1.5702 1.5702 1.5702
Be 1.5702 4.7105 4.7105
Be 3.1404 0.0000 3.1404
Be 3.1404 3.1404 0.0000
Be 4.7105 1.5702 4.7105
Be 4.7105 4.7105 1.5702
Mo 1.5702 1.5702 4.7105
Mo 1.5702 4.7105 1.5702
Mo 4.7105 1.5702 1.5702
Mo 4.7105 4.7105 4.7105
Pb 0.0000 0.0000 3.1404
Pb 0.0000 3.1404 0.0000
Pb 3.1404 0.0000 0.0000
Pb 3.1404 3.1404 3.1404
```

Properties
Space group = F-43m, No. 216

Number 1: uncorrected energy -6.25 eV per atom. Number 2: uncorrected energy -3.86 eV per atom. Number 3: uncorrected energy -2.56 eV per atom. Number 4: uncorrected energy -6.36 eV per atom. Number 5: uncorrected energy -5.63 eV per atom. Number 6: uncorrected energy -3.14 eV per atom. Number 7: uncorrected energy -3.14 eV per atom. Number 8: uncorrected energy -5.08 eV per atom. Number 9: uncorrected energy -8.24 eV per atom. Number 10: uncorrected energy -5.58 eV per atom. Number 11: uncorrected energy -5.80 eV per atom. Number 12: uncorrected energy -4.48 eV per atom.